(1)
{"formula": "Ac2Al5Cu3", "functional": "PBE-GGA", "state": "optimized geometry", "lattice_angstrom": [[4.4306, 0.0000, 0.0000], [0.0000, 4.4306, 0.0000], [0.0000, 0.0000, 10.5362]], "species": ["Ac", "Ac", "Al", "Al", "Al", "Al", "Al", "Cu", "Cu", "Cu"], "frac_coords": [[0.0000, 0.5000, 0.2348], [0.5000, 0.0000, 0.7652], [0.0000, 0.0000, 0.5000], [0.0000, 0.5000, 0.6500], [0.5000, 0.0000, 0.3500], [0.5000, 0.5000, 0.0000], [0.5000, 0.5000, 0.5000], [0.0000, 0.0000, 0.0000], [0.0000, 0.5000, 0.8864], [0.5000, 0.0000, 0.1136]], "e_tot_ev_per_atom": -4.24, "relative_energy_ev_per_fu": 0.59, "delta_e_f_mev_per_atom": -316.2}


(2)
{"formula": "Ac2Al3Cu", "functional": "PBE-GGA", "state": "optimized geometry", "lattice_angstrom": [[4.4422, 0.0000, 0.0000], [0.0000, 4.6589, 0.0000], [0.0000, 0.0000, 7.7465]], "species": ["Ac", "Ac", "Al", "Al", "Al", "Cu"], "frac_coords": [[0.0000, 0.0000, 0.0000], [0.5000, 0.0000, 0.4971], [0.0000, 0.5000, 0.3246], [0.0000, 0.5000, 0.6646], [0.5000, 0.5000, 0.8422], [0.5000, 0.5000, 0.1673]], "e_tot_ev_per_atom": -4.24, "relative_energy_ev_per_fu": 0.05, "delta_e_f_mev_per_atom": -312.0}


(3)
{"formula": "Ac2AlCu", "functional": "PBE-GGA", "state": "optimized geometry", "lattice_angstrom": [[1.9344, 1.1168, 10.6945], [-1.9344, 1.1168, 10.6945], [0.0000, -2.2337, 10.6945]], "species": ["Ac", "Ac", "Al", "Cu"], "frac_coords": [[0.0920, 0.0920, 0.0920], [0.9080, 0.9080, 0.9080], [0.5000, 0.5000, 0.5000], [0.0000, 0.0000, 0.0000]], "e_tot_ev_per_atom": -3.59, "delta_e_f_mev_per_atom": 421.0}


(4)
{"formula": "Ac3Al3Cu2", "functional": "PBE-GGA", "state": "optimized geometry", "lattice_angstrom": [[2.1469, -5.8659, 0.0000], [2.1469, 5.8659, 0.0000], [0.0000, 0.0000, 16.3117]], "species": ["Ac", "Ac", "Ac", "Ac", "Ac", "Ac", "Al", "Al", "Al", "Al", "Al", "Al", "Cu", "Cu", "Cu", "Cu"], "frac_coords": [[0.0452, 0.9548, 0.6078], [0.0452, 0.9548, 0.8922], [0.3493, 0.6507, 0.7500], [0.6507, 0.3493, 0.2500], [0.9548, 0.0452, 0.1078], [0.9548, 0.0452, 0.3922], [0.3182, 0.6818, 0.5343], [0.3182, 0.6818, 0.9657], [0.3602, 0.6398, 0.2500], [0.6398, 0.3602, 0.7500], [0.6818, 0.3182, 0.0343], [0.6818, 0.3182, 0.4657], [0.2437, 0.7563, 0.1116], [0.2437, 0.7563, 0.3884], [0.7563, 0.2437, 0.6116], [0.7563, 0.2437, 0.8884]], "e_tot_ev_per_atom": -4.24, "relative_energy_ev_per_fu": 0.00, "delta_e_f_mev_per_atom": -272.7}


(5)
{"formula": "AcAl3Cu2", "functional": "PBE-GGA", "state": "optimized geometry", "lattice_angstrom": [[5.5942, 0.0000, 0.0000], [-2.7971, 4.8447, 0.0000], [0.0000, 0.0000, 4.1578]], "species": ["Ac", "Al", "Al", "Al", "Cu", "Cu"], "frac_coords": [[0.0000, 0.0000, 0.0000], [0.0000, 0.5000, 0.5000], [0.5000, 0.0000, 0.5000], [0.5000, 0.5000, 0.5000], [0.3333, 0.6667, 0.0000], [0.6667, 0.3333, 0.0000]], "e_tot_ev_per_atom": -4.31, "relative_energy_ev_per_fu": 0.00, "delta_e_f_mev_per_atom": -387.8}


(6)
{"formula": "Ac2Al3Cu", "functional": "PBE-GGA", "state": "optimized geometry", "lattice_angstrom": [[5.5216, -2.3891, 0.0000], [5.5216, 2.3891, 0.0000], [-5.4487, 0.0000, 5.6577]], "species": ["Ac", "Ac", "Al", "Al", "Al", "Cu"], "frac_coords": [[0.0000, 0.0000, 0.0000], [0.5022, 0.5022, 0.5991], [0.3078, 0.3078, 0.0095], [0.6842, 0.6842, 0.3992], [0.8160, 0.8160, 0.2012], [0.1855, 0.1855, 0.5655]], "e_tot_ev_per_atom": -4.24, "relative_energy_ev_per_fu": 0.00, "delta_e_f_mev_per_atom": -320.4}


(7)
{"formula": "Ac4Al5Cu2", "functional": "PBE-GGA", "state": "optimized geometry", "lattice_angstrom": [[7.0691, 0.0000, 0.0000], [0.0000, 4.9252, 0.0000], [-0.2613, 0.0000, 8.5492]], "species": ["Ac", "Ac", "Ac", "Ac", "Al", "Al", "Al", "Al", "Al", "Cu", "Cu"], "frac_coords": [[0.2106, 0.0000, 0.1450], [0.2727, 0.0000, 0.6330], [0.7273, 0.0000, 0.3670], [0.7894, 0.0000, 0.8550], [0.1375, 0.5000, 0.8867], [0.3915, 0.5000, 0.3651], [0.5000, 0.5000, 0.0000], [0.6085, 0.5000, 0.6349], [0.8625, 0.5000, 0.1133], [0.0408, 0.5000, 0.3654], [0.9592, 0.5000, 0.6346]], "e_tot_ev_per_atom": -4.16, "delta_e_f_mev_per_atom": -215.9}


(8)
{"formula": "Ac2AlCu", "functional": "PBE-GGA", "state": "optimized geometry", "lattice_angstrom": [[2.1497, 1.2411, 7.8376], [-2.1497, 1.2411, 7.8376], [0.0000, -2.4822, 7.8376]], "species": ["Ac", "Ac", "Al", "Cu"], "frac_coords": [[0.0000, 0.0000, 0.0000], [0.1903, 0.1903, 0.1903], [0.4275, 0.4275, 0.4275], [0.7618, 0.7618, 0.7618]], "e_tot_ev_per_atom": -4.16, "delta_e_f_mev_per_atom": -149.1}


(9)
{"formula": "AcAl2Cu2", "functional": "PBE-GGA", "state": "optimized geometry", "lattice_angstrom": [[3.2036, -3.1956, 0.0000], [3.2036, 3.1956, 0.0000], [-3.0744, 0.0000, 4.9439]], "species": ["Ac", "Al", "Al", "Cu", "Cu"], "frac_coords": [[0.0000, 0.0000, 0.0000], [0.3781, 0.3781, 0.7254], [0.6219, 0.6219, 0.2746], [0.2273, 0.7727, 0.5000], [0.7727, 0.2273, 0.5000]], "e_tot_ev_per_atom": -4.27, "relative_energy_ev_per_fu": 0.20, "delta_e_f_mev_per_atom": -311.8}


(10)
{"formula": "Ac8Al2Cu", "functional": "PBE-GGA", "state": "optimized geometry", "lattice_angstrom": [[10.0438, -2.7472, 0.0000], [10.0438, 2.7472, 0.0000], [-1.5494, 0.0000, 7.2807]], "species": ["Ac", "Ac", "Ac", "Ac", "Ac", "Ac", "Ac", "Ac", "Al", "Al", "Cu"], "frac_coords": [[0.0210, 0.0210, 0.2765], [0.2092, 0.2092, 0.8069], [0.3460, 0.3460, 0.5278], [0.4064, 0.4064, 0.0398], [0.5936, 0.5936, 0.9602], [0.6540, 0.6540, 0.4722], [0.7908, 0.7908, 0.1931], [0.9790, 0.9790, 0.7235], [0.1877, 0.1877, 0.2445], [0.8123, 0.8123, 0.7555], [0.5000, 0.5000, 0.5000]], "e_tot_ev_per_atom": -4.11, "delta_e_f_mev_per_atom": -69.7}


(11)
{"formula": "AcAl2Cu", "functional": "PBE-GGA", "state": "optimized geometry", "lattice_angstrom": [[2.2309, -9.3152, 0.0000], [2.2309, 9.3152, 0.0000], [0.0000, 0.0000, 4.3654]], "species": ["Ac", "Ac", "Al", "Al", "Al", "Al", "Cu", "Cu"], "frac_coords": [[0.1409, 0.8591, 0.0000], [0.8591, 0.1409, 0.0000], [0.0000, 0.0000, 0.5000], [0.2882, 0.7118, 0.5000], [0.5000, 0.5000, 0.0000], [0.7118, 0.2882, 0.5000], [0.4267, 0.5733, 0.5000], [0.5733, 0.4267, 0.5000]], "e_tot_ev_per_atom": -4.26, "relative_energy_ev_per_fu": 0.09, "delta_e_f_mev_per_atom": -340.1}


(12)
{"formula": "Ac3Al8Cu3", "functional": "PBE-GGA", "state": "optimized geometry", "lattice_angstrom": [[8.2322, -2.2662, 0.0000], [8.2322, 2.2662, 0.0000], [-5.9769, 0.0000, 8.0214]], "species": ["Ac", "Ac", "Ac", "Al", "Al", "Al", "Al", "Al", "Al", "Al", "Al", "Cu", "Cu", "Cu"], "frac_coords": [[0.0000, 0.0000, 0.0000], [0.3032, 0.3032, 0.3095], [0.6968, 0.6968, 0.6905], [0.1328, 0.1328, 0.8498], [0.1392, 0.1392, 0.4140], [0.3388, 0.3388, 0.9683], [0.4970, 0.4970, 0.7066], [0.5030, 0.5030, 0.2934], [0.6612, 0.6612, 0.0317], [0.8608, 0.8608, 0.5860], [0.8672, 0.8672, 0.1502], [0.0000, 0.0000, 0.5000], [0.3405, 0.3405, 0.6963], [0.6595, 0.6595, 0.3037]], "e_tot_ev_per_atom": -4.16, "relative_energy_ev_per_fu": 0.32, "delta_e_f_mev_per_atom": -263.6}


(13)
{"formula": "Ac2Al5Cu12", "functional": "PBE-GGA", "state": "optimized geometry", "lattice_angstrom": [[4.4704, 2.5810, 4.3589], [-4.4704, 2.5810, 4.3589], [0.0000, -5.1620, 4.3589]], "species": ["Ac", "Ac", "Al", "Al", "Al", "Al", "Al", "Cu", "Cu", "Cu", "Cu", "Cu", "Cu", "Cu", "Cu", "Cu", "Cu", "Cu", "Cu"], "frac_coords": [[0.1482, 0.1482, 0.1482], [0.8518, 0.8518, 0.8518], [0.0000, 0.5000, 0.5000], [0.4027, 0.4027, 0.4027], [0.5000, 0.0000, 0.5000], [0.5000, 0.5000, 0.0000], [0.5973, 0.5973, 0.5973], [0.1609, 0.1609, 0.6424], [0.1609, 0.6424, 0.1609], [0.2157, 0.5000, 0.7843], [0.2157, 0.7843, 0.5000], [0.3576, 0.8391, 0.8391], [0.5000, 0.2157, 0.7843], [0.5000, 0.7843, 0.2157], [0.6424, 0.1609, 0.1609], [0.7843, 0.2157, 0.5000], [0.7843, 0.5000, 0.2157], [0.8391, 0.3576, 0.8391], [0.8391, 0.8391, 0.3576]], "e_tot_ev_per_atom": -4.23, "delta_e_f_mev_per_atom": -225.0}


(14)
{"formula": "AcAl2Cu3", "functional": "PBE-GGA", "state": "optimized geometry", "lattice_angstrom": [[5.0991, -4.0661, 0.0000], [5.0991, 4.0661, 0.0000], [0.0000, 0.0000, 5.3259]], "species": ["Ac", "Ac", "Al", "Al", "Al", "Al", "Cu", "Cu", "Cu", "Cu", "Cu", "Cu"], "frac_coords": [[0.1836, 0.8164, 0.7500], [0.8164, 0.1836, 0.2500], [0.2957, 0.2957, 0.0000], [0.2957, 0.2957, 0.5000], [0.7043, 0.7043, 0.0000], [0.7043, 0.7043, 0.5000], [0.0343, 0.5875, 0.2500], [0.4125, 0.9657, 0.2500], [0.4253, 0.5747, 0.2500], [0.5747, 0.4253, 0.7500], [0.5875, 0.0343, 0.7500], [0.9657, 0.4125, 0.7500]], "e_tot_ev_per_atom": -4.32, "delta_e_f_mev_per_atom": -338.0}


(15)
{"formula": "Ac4Al3Cu2", "functional": "PBE-GGA", "state": "optimized geometry", "lattice_angstrom": [[8.3364, -2.0956, 0.0000], [8.3364, 2.0956, 0.0000], [-2.1844, 0.0000, 7.2284]], "species": ["Ac", "Ac", "Ac", "Ac", "Al", "Al", "Al", "Cu", "Cu"], "frac_coords": [[0.0726, 0.0726, 0.3678], [0.2623, 0.2623, 0.7977], [0.7377, 0.7377, 0.2023], [0.9274, 0.9274, 0.6322], [0.4022, 0.4022, 0.2319], [0.5000, 0.5000, 0.0000], [0.5978, 0.5978, 0.7681], [0.0929, 0.0929, 0.9598], [0.9071, 0.9071, 0.0402]], "e_tot_ev_per_atom": -4.22, "delta_e_f_mev_per_atom": -231.7}


(16)
{"formula": "Ac2AlCu3", "functional": "PBE-GGA", "state": "optimized geometry", "lattice_angstrom": [[0.0000, 4.4451, 7.6660], [4.2425, 0.0000, 7.6660], [4.2425, 4.4451, 0.0000]], "species": ["Ac", "Ac", "Ac", "Ac", "Al", "Al", "Cu", "Cu", "Cu", "Cu", "Cu", "Cu"], "frac_coords": [[0.2351, 0.7649, 0.7649], [0.2500, 0.2500, 0.2500], [0.7500, 0.7500, 0.7500], [0.7649, 0.2351, 0.2351], [0.3361, 0.3361, 0.6639], [0.6639, 0.6639, 0.3361], [0.1686, 0.1686, 0.8314], [0.1699, 0.6635, 0.3365], [0.3365, 0.8301, 0.1699], [0.6635, 0.1699, 0.8301], [0.8301, 0.3365, 0.6635], [0.8314, 0.8314, 0.1686]], "e_tot_ev_per_atom": -4.25, "relative_energy_ev_per_fu": 0.07, "delta_e_f_mev_per_atom": -205.4}


(17)
{"formula": "AcAl2Cu", "functional": "PBE-GGA", "state": "optimized geometry", "lattice_angstrom": [[2.1219, 1.2251, 5.9139], [-2.1219, 1.2251, 5.9139], [0.0000, -2.4501, 5.9139]], "species": ["Ac", "Al", "Al", "Cu"], "frac_coords": [[0.0000, 0.0000, 0.0000], [0.2032, 0.2032, 0.2032], [0.7968, 0.7968, 0.7968], [0.5000, 0.5000, 0.5000]], "e_tot_ev_per_atom": -4.26, "relative_energy_ev_per_fu": 0.10, "delta_e_f_mev_per_atom": -336.4}


(18)
{"formula": "AcAl2Cu2", "functional": "PBE-GGA", "state": "optimized geometry", "lattice_angstrom": [[-2.1046, 2.1046, 5.6412], [2.1046, -2.1046, 5.6412], [2.1046, 2.1046, -5.6412]], "species": ["Ac", "Al", "Al", "Cu", "Cu"], "frac_coords": [[0.0000, 0.0000, 0.0000], [0.2500, 0.7500, 0.5000], [0.7500, 0.2500, 0.5000], [0.3787, 0.3787, 0.0000], [0.6213, 0.6213, 0.0000]], "e_tot_ev_per_atom": -4.31, "relative_energy_ev_per_fu": 0.00, "delta_e_f_mev_per_atom": -350.8}


(19)
{"formula": "AcAlCu2", "functional": "PBE-GGA", "state": "optimized geometry", "lattice_angstrom": [[0.0000, 3.4635, 3.4635], [3.4635, 0.0000, 3.4635], [3.4635, 3.4635, 0.0000]], "species": ["Ac", "Al", "Cu", "Cu"], "frac_coords": [[0.0000, 0.0000, 0.0000], [0.5000, 0.5000, 0.5000], [0.2500, 0.2500, 0.2500], [0.7500, 0.7500, 0.7500]], "e_tot_ev_per_atom": -4.10, "delta_e_f_mev_per_atom": -90.8}


(20)
{"formula": "AcAl9Cu2", "functional": "PBE-GGA", "state": "optimized geometry", "lattice_angstrom": [[8.0894, 0.0000, 0.0000], [-4.0447, 7.0057, 0.0000], [0.0000, 0.0000, 3.9193]], "species": ["Ac", "Al", "Al", "Al", "Al", "Al", "Al", "Al", "Al", "Al", "Cu", "Cu"], "frac_coords": [[0.0000, 0.0000, 0.0000], [0.0000, 0.5000, 0.0000], [0.2082, 0.4164, 0.5000], [0.2082, 0.7918, 0.5000], [0.4164, 0.2082, 0.5000], [0.5000, 0.0000, 0.0000], [0.5000, 0.5000, 0.0000], [0.5836, 0.7918, 0.5000], [0.7918, 0.2082, 0.5000], [0.7918, 0.5836, 0.5000], [0.3333, 0.6667, 0.0000], [0.6667, 0.3333, 0.0000]], "e_tot_ev_per_atom": -3.96, "relative_energy_ev_per_fu": 0.82, "delta_e_f_mev_per_atom": -129.5}


(21)
{"formula": "AcAl12Cu4", "functional": "PBE-GGA", "state": "optimized geometry", "lattice_angstrom": [[-4.3497, 4.3497, 4.3497], [4.3497, -4.3497, 4.3497], [4.3497, 4.3497, -4.3497]], "species": ["Ac", "Al", "Al", "Al", "Al", "Al", "Al", "Al", "Al", "Al", "Al", "Al", "Al", "Cu", "Cu", "Cu", "Cu"], "frac_coords": [[0.0000, 0.0000, 0.0000], [0.1721, 0.5186, 0.3465], [0.1721, 0.8255, 0.6535], [0.1745, 0.3465, 0.8279], [0.3465, 0.1721, 0.5186], [0.3465, 0.8279, 0.1745], [0.4814, 0.6535, 0.8279], [0.5186, 0.3465, 0.1721], [0.6535, 0.1721, 0.8255], [0.6535, 0.8279, 0.4814], [0.8255, 0.6535, 0.1721], [0.8279, 0.1745, 0.3465], [0.8279, 0.4814, 0.6535], [0.0000, 0.0000, 0.5000], [0.0000, 0.5000, 0.0000], [0.5000, 0.0000, 0.0000], [0.5000, 0.5000, 0.5000]], "e_tot_ev_per_atom": -3.78, "delta_e_f_mev_per_atom": 67.9}


(22)
{"formula": "Ac2AlCu9", "functional": "PBE-GGA", "state": "optimized geometry", "lattice_angstrom": [[2.5816, 1.4905, 8.7887], [-2.5816, 1.4905, 8.7887], [0.0000, -2.9809, 8.7887]], "species": ["Ac", "Ac", "Al", "Cu", "Cu", "Cu", "Cu", "Cu", "Cu", "Cu", "Cu", "Cu"], "frac_coords": [[0.1324, 0.1324, 0.1324], [0.8676, 0.8676, 0.8676], [0.0000, 0.0000, 0.0000], [0.0754, 0.5750, 0.5750], [0.3331, 0.3331, 0.3331], [0.4250, 0.4250, 0.9246], [0.4250, 0.9246, 0.4250], [0.5000, 0.5000, 0.5000], [0.5750, 0.0754, 0.5750], [0.5750, 0.5750, 0.0754], [0.6669, 0.6669, 0.6669], [0.9246, 0.4250, 0.4250]], "e_tot_ev_per_atom": -4.02, "delta_e_f_mev_per_atom": 45.2}


(23)
{"formula": "AcErAlCu", "functional": "PBE-GGA", "state": "optimized geometry", "lattice_angstrom": [[0.0000, 3.7315, 3.7315], [3.7315, 0.0000, 3.7315], [3.7315, 3.7315, 0.0000]], "species": ["Ac", "Er", "Al", "Cu"], "frac_coords": [[0.0000, 0.0000, 0.0000], [0.5000, 0.5000, 0.5000], [0.2500, 0.2500, 0.2500], [0.7500, 0.7500, 0.7500]], "e_tot_ev_per_atom": -4.27, "delta_e_f_mev_per_atom": -146.7}